{
  "formula": "NaTb2Pu3Te6",
  "functional": "PBE",
  "state": "relaxed",
  "lattice_angstrom": [[9.647, -2.208, 0.000], [9.647, 2.208, 0.000], [-1.993, 0.000, 8.670]],
  "species": ["Na", "Tb", "Tb", "Pu", "Pu", "Pu", "Te", "Te", "Te", "Te", "Te", "Te"],
  "frac_coords": [[0.000, 0.000, 0.000], [0.333, 0.333, 0.665], [0.667, 0.667, 0.335], [0.000, 0.000, 0.500], [0.335, 0.335, 0.165], [0.665, 0.665, 0.835], [0.167, 0.167, 0.583], [0.168, 0.168, 0.090], [0.497, 0.497, 0.748], [0.503, 0.503, 0.252], [0.832, 0.832, 0.910], [0.833, 0.833, 0.417]],
  "e_form_raw_ev_per_atom": -1.184,
  "magnetic_moment_mub_per_cell": 17.8,
  "spacegroup": "C2/m, No. 12",
  "e_tot_ev_per_atom": -7.22
}

{
  "formula": "HfTl2HgI6",
  "functional": "PBE",
  "state": "relaxed",
  "lattice_angstrom": [[4.276, 2.468, 7.799], [-4.276, 2.468, 7.799], [0.000, -4.937, 7.799]],
  "species": ["Hf", "Tl", "Tl", "Hg", "I", "I", "I", "I", "I", "I"],
  "frac_coords": [[0.000, 0.000, 0.000], [0.183, 0.183, 0.183], [0.657, 0.657, 0.657], [0.500, 0.500, 0.500], [0.048, 0.811, 0.355], [0.194, 0.650, 0.945], [0.355, 0.048, 0.811], [0.650, 0.945, 0.194], [0.811, 0.355, 0.048], [0.945, 0.194, 0.650]],
  "e_form_raw_ev_per_atom": -0.701,
  "magnetic_moment_mub_per_cell": 0.0,
  "spacegroup": "R3, No. 146",
  "e_tot_ev_per_atom": -3.13
}

{
  "formula": "Sn2H2Ir",
  "functional": "PBE",
  "state": "relaxed",
  "lattice_angstrom": [[-1.631, 1.631, 6.437], [1.631, -1.631, 6.437], [1.631, 1.631, -6.437]],
  "species": ["Sn", "Sn", "H", "H", "Ir"],
  "frac_coords": [[0.131, 0.131, 0.000], [0.869, 0.869, 0.000], [0.250, 0.750, 0.500], [0.750, 0.250, 0.500], [0.500, 0.500, 0.000]],
  "magnetic_moment_mub_per_cell": 0.0,
  "spacegroup": "I4/mmm, No. 139",
  "e_tot_ev_per_atom": -4.40
}

{
  "formula": "La2TlSiPd6",
  "functional": "PBE",
  "state": "relaxed",
  "lattice_angstrom": [[5.631, 0.000, 0.000], [0.000, 8.910, 0.000], [0.000, 0.000, 8.614]],
  "species": ["La", "La", "La", "La", "Tl", "Tl", "Si", "Si", "Pd", "Pd", "Pd", "Pd", "Pd", "Pd", "Pd", "Pd", "Pd", "Pd", "Pd", "Pd"],
  "frac_coords": [[0.250, 0.004, 0.241], [0.250, 0.496, 0.241], [0.750, 0.504, 0.759], [0.750, 0.996, 0.759], [0.250, 0.250, 0.791], [0.750, 0.750, 0.209], [0.250, 0.750, 0.720], [0.750, 0.250, 0.280], [0.002, 0.250, 0.508], [0.004, 0.750, 0.943], [0.250, 0.503, 0.598], [0.250, 0.997, 0.598], [0.496, 0.750, 0.943], [0.498, 0.250, 0.508], [0.502, 0.750, 0.492], [0.504, 0.250, 0.057], [0.750, 0.003, 0.402], [0.750, 0.497, 0.402], [0.996, 0.250, 0.057], [0.998, 0.750, 0.492]],
  "e_form_raw_ev_per_atom": -0.678,
  "magnetic_moment_mub_per_cell": 0.0,
  "spacegroup": "Pmmn, No. 59",
  "e_tot_ev_per_atom": -5.56
}

{
  "formula": "TmScTl",
  "functional": "PBE",
  "state": "relaxed",
  "lattice_angstrom": [[5.046, 0.000, 0.000], [-2.523, 4.370, 0.000], [0.000, 0.000, 3.596]],
  "species": ["Tm", "Sc", "Tl"],
  "frac_coords": [[0.000, 0.000, 0.000], [0.667, 0.333, 0.501], [0.333, 0.667, 0.498]],
  "formation_energy_kj_per_mol_atoms": -14.4,
  "magnetic_moment_mub_per_cell": 0.5,
  "relative_energy_ev_per_atom": 0.109,
  "spacegroup": "P3m1, No. 156",
  "e_tot_ev_per_atom": -4.54
}

{
  "formula": "Dy3CdGa",
  "functional": "PBE",
  "state": "relaxed",
  "lattice_angstrom": [[8.621, -4.825, 0.000], [8.621, 4.825, 0.000], [-0.653, 0.000, 6.410]],
  "species": ["Dy", "Dy", "Dy", "Dy", "Dy", "Dy", "Dy", "Dy", "Dy", "Dy", "Dy", "Dy", "Cd", "Cd", "Cd", "Cd", "Ga", "Ga", "Ga", "Ga"],
  "frac_coords": [[0.049, 0.260, 0.587], [0.178, 0.692, 0.977], [0.260, 0.049, 0.087], [0.293, 0.378, 0.497], [0.308, 0.822, 0.523], [0.378, 0.293, 0.997], [0.622, 0.707, 0.003], [0.692, 0.178, 0.477], [0.707, 0.622, 0.503], [0.740, 0.951, 0.913], [0.822, 0.308, 0.023], [0.951, 0.740, 0.413], [0.003, 0.997, 0.250], [0.497, 0.503, 0.250], [0.503, 0.497, 0.750], [0.997, 0.003, 0.750], [0.040, 0.425, 0.173], [0.425, 0.040, 0.673], [0.575, 0.960, 0.327], [0.960, 0.575, 0.827]],
  "formation_energy_kj_per_mol_atoms": -24.5,
  "magnetic_moment_mub_per_cell": 0.0,
  "relative_energy_ev_per_atom": 0.083,
  "spacegroup": "C2/c, No. 15",
  "e_tot_ev_per_atom": -3.80
}

{
  "formula": "SrBi2Mo",
  "functional": "PBE",
  "state": "relaxed",
  "lattice_angstrom": [[-4.219, 4.219, 3.487], [4.219, -4.219, 3.487], [4.219, 4.219, -3.487]],
  "species": ["Sr", "Sr", "Bi", "Bi", "Bi", "Bi", "Mo", "Mo"],
  "frac_coords": [[0.000, 0.000, 0.000], [0.750, 0.250, 0.500], [0.177, 0.625, 0.052], [0.375, 0.427, 0.552], [0.573, 0.125, 0.948], [0.875, 0.823, 0.448], [0.250, 0.750, 0.500], [0.500, 0.500, 0.000]],
  "formation_energy_kj_per_mol_atoms": 22.9,
  "magnetic_moment_mub_per_cell": 4.1,
  "relative_energy_ev_per_atom": 0.000,
  "spacegroup": "I-42d, No. 122",
  "e_tot_ev_per_atom": -4.83
}

{
  "formula": "Hg2OsPb",
  "functional": "PBE",
  "state": "relaxed",
  "lattice_angstrom": [[1.588, -2.608, 0.000], [1.588, 2.608, 0.000], [0.000, 0.000, 11.315]],
  "species": ["Hg", "Hg", "Os", "Pb"],
  "frac_coords": [[0.000, 0.000, 0.000], [0.500, 0.500, 0.267], [0.500, 0.500, 0.789], [0.000, 0.000, 0.583]],
  "formation_energy_kj_per_mol_atoms": 67.8,
  "magnetic_moment_mub_per_cell": 0.0,
  "spacegroup": "Cmm2, No. 35",
  "e_tot_ev_per_atom": -3.18
}

{
  "formula": "PmSn2Cl8",
  "functional": "PBE",
  "state": "relaxed",
  "lattice_angstrom": [[6.456, -4.194, 0.000], [6.456, 4.194, 0.000], [-2.470, 0.000, 7.524]],
  "species": ["Pm", "Sn", "Sn", "Cl", "Cl", "Cl", "Cl", "Cl", "Cl", "Cl", "Cl"],
  "frac_coords": [[0.000, 0.000, 0.000], [0.131, 0.131, 0.613], [0.869, 0.869, 0.387], [0.129, 0.696, 0.181], [0.179, 0.179, 0.293], [0.304, 0.871, 0.819], [0.323, 0.323, 0.759], [0.677, 0.677, 0.241], [0.696, 0.129, 0.181], [0.821, 0.821, 0.707], [0.871, 0.304, 0.819]],
  "e_form_raw_ev_per_atom": -1.317,
  "magnetic_moment_mub_per_cell": 0.0,
  "relative_energy_ev_per_atom": 0.007,
  "spacegroup": "C2/m, No. 12",
  "e_tot_ev_per_atom": -3.82
}

{
  "formula": "SrLiLaCl6",
  "functional": "PBE",
  "state": "relaxed",
  "lattice_angstrom": [[6.929, 0.000, 0.000], [-3.464, 6.000, 0.000], [0.000, 0.000, 12.758]],
  "species": ["Sr", "Sr", "Li", "Li", "La", "La", "Cl", "Cl", "Cl", "Cl", "Cl", "Cl", "Cl", "Cl", "Cl", "Cl", "Cl", "Cl"],
  "frac_coords": [[0.000, 0.000, 0.000], [0.000, 0.000, 0.500], [0.333, 0.667, 0.250], [0.667, 0.333, 0.750], [0.333, 0.667, 0.750], [0.667, 0.333, 0.250], [0.018, 0.357, 0.132], [0.018, 0.661, 0.368], [0.339, 0.357, 0.368], [0.339, 0.982, 0.132], [0.357, 0.018, 0.632], [0.357, 0.339, 0.868], [0.643, 0.661, 0.132], [0.643, 0.982, 0.368], [0.661, 0.018, 0.868], [0.661, 0.643, 0.632], [0.982, 0.339, 0.632], [0.982, 0.643, 0.868]],
  "e_form_raw_ev_per_atom": -2.265,
  "magnetic_moment_mub_per_cell": 0.0,
  "spacegroup": "P-31c, No. 163",
  "e_tot_ev_per_atom": -4.44
}

{
  "formula": "NpP2Os",
  "functional": "PBE",
  "state": "relaxed",
  "lattice_angstrom": [[1.929, 1.114, 5.217], [-1.929, 1.114, 5.217], [0.000, -2.227, 5.217]],
  "species": ["Np", "P", "P", "Os"],
  "frac_coords": [[0.000, 0.000, 0.000], [0.231, 0.231, 0.231], [0.769, 0.769, 0.769], [0.500, 0.500, 0.500]],
  "formation_energy_kj_per_mol_atoms": -59.4,
  "magnetic_moment_mub_per_cell": 3.0,
  "relative_energy_ev_per_atom": 0.000,
  "spacegroup": "R-3m, No. 166",
  "e_tot_ev_per_atom": -9.36
}

{
  "formula": "LiSn3Au3",
  "functional": "PBE",
  "state": "relaxed",
  "lattice_angstrom": [[3.587, -5.869, 0.000], [3.587, 5.869, 0.000], [-0.087, 0.000, 7.371]],
  "species": ["Li", "Li", "Sn", "Sn", "Sn", "Sn", "Sn", "Sn", "Au", "Au", "Au", "Au", "Au", "Au"],
  "frac_coords": [[0.178, 0.178, 0.446], [0.822, 0.822, 0.554], [0.208, 0.208, 0.066], [0.283, 0.717, 0.500], [0.292, 0.708, 0.000], [0.708, 0.292, 0.000], [0.717, 0.283, 0.500], [0.792, 0.792, 0.934], [0.016, 0.285, 0.749], [0.285, 0.016, 0.749], [0.481, 0.481, 0.699], [0.519, 0.519, 0.301], [0.715, 0.984, 0.251], [0.984, 0.715, 0.251]],
  "formation_energy_kj_per_mol_atoms": -19.7,
  "magnetic_moment_mub_per_cell": 0.0,
  "relative_energy_ev_per_atom": 0.000,
  "spacegroup": "C2/m, No. 12",
  "e_tot_ev_per_atom": -3.60
}